1.
This record from Alexandria describes La3Zn22 at its PBEsol-relaxed geometry. The functional is meta-GGA SCAN.

Output
crystal system	tetragonal
VASP energy	-1.2790	Ry per atom
energy of formation from the pure elements	-336	meV per atom
space-group type	No. 141

Unit cell a=8.7951 b=8.7951 c=12.2180 alpha=111.10 beta=111.10 gamma=90.00
Positions (direct):
La: 0.3783 0.3783 0.7566
La: 0.6283 0.1283 0.2566
La: 0.8717 0.3717 0.7434
La: 0.6217 0.6217 0.2434
La: 0.2500 0.7500 0.5000
La: 0.0000 0.0000 0.0000
Zn: 0.9295 0.4545 0.3727
Zn: 0.4432 0.4545 0.3727
Zn: 0.7045 0.6795 0.8727
Zn: 0.1682 0.6795 0.8727
Zn: 0.9295 0.9182 0.3727
Zn: 0.4432 0.9182 0.3727
Zn: 0.7045 0.1932 0.8727
Zn: 0.1682 0.1932 0.8727
Zn: 0.3205 0.2955 0.1273
Zn: 0.8068 0.2955 0.1273
Zn: 0.5455 0.0705 0.6273
Zn: 0.0818 0.0705 0.6273
Zn: 0.3205 0.8318 0.1273
Zn: 0.8068 0.8318 0.1273
Zn: 0.5455 0.5568 0.6273
Zn: 0.0818 0.5568 0.6273
Zn: 0.5019 0.7273 0.0038
Zn: 0.9773 0.2519 0.5038
Zn: 0.5265 0.2519 0.5038
Zn: 0.5019 0.2765 0.0038
Zn: 0.7481 0.0227 0.4962
Zn: 0.2727 0.4981 0.9962
Zn: 0.7235 0.4981 0.9962
Zn: 0.7481 0.4735 0.4962
Zn: 0.2409 0.3872 0.4817
Zn: 0.6372 0.9909 0.9817
Zn: 0.3445 0.9909 0.9817
Zn: 0.2409 0.0945 0.4817
Zn: 0.0091 0.3628 0.0183
Zn: 0.6128 0.7591 0.5183
Zn: 0.9055 0.7591 0.5183
Zn: 0.0091 0.6555 0.0183
Zn: 0.3890 0.0395 0.7779
Zn: 0.2895 0.1390 0.2779
Zn: 0.9885 0.1390 0.2779
Zn: 0.3890 0.7385 0.7779
Zn: 0.8610 0.7105 0.7221
Zn: 0.9605 0.6110 0.2221
Zn: 0.2615 0.6110 0.2221
Zn: 0.8610 0.0115 0.7221
Zn: 0.1250 0.3750 0.2500
Zn: 0.6250 0.8750 0.7500
Zn: 0.1250 0.8750 0.7500
Zn: 0.1250 0.8750 0.2500



2.
This record from Alexandria describes LaZn4 at its PBEsol-relaxed geometry. The functional is meta-GGA SCAN.

Output
crystal system	orthorhombic
VASP energy	-1.4587	Ry per atom
energy of formation from the pure elements	-413	meV per atom
space-group type	No. 63

Unit cell a=5.9325 b=5.9325 c=5.9507 alpha=90.00 beta=90.00 gamma=116.49
Positions (direct):
La: 0.2682 0.7318 0.7500
La: 0.7318 0.2682 0.2500
Zn: 0.8490 0.1510 0.7500
Zn: 0.1510 0.8490 0.2500
Zn: 0.6066 0.3934 0.7500
Zn: 0.3934 0.6066 0.2500
Zn: 0.7852 0.7852 0.0000
Zn: 0.7852 0.7852 0.5000
Zn: 0.2148 0.2148 0.0000
Zn: 0.2148 0.2148 0.5000



3.
This record from Alexandria describes LaZn at its PBEsol-relaxed geometry. The functional is meta-GGA SCAN.

Output
crystal system	hexagonal
VASP energy	-2.1038	Ry per atom
energy of formation from the pure elements	-313	meV per atom
space-group type	No. 194

Unit cell a=4.4885 b=4.4885 c=10.4873 alpha=90.00 beta=90.00 gamma=120.00
Positions (direct):
Zn: 0.0000 0.0000 0.7500
Zn: 0.0000 0.0000 0.2500
Zn: 0.3333 0.6667 0.2500
Zn: 0.6667 0.3333 0.7500
La: 0.3333 0.6667 0.9233
La: 0.6667 0.3333 0.4233
La: 0.6667 0.3333 0.0767
La: 0.3333 0.6667 0.5767



4.
This record from Alexandria describes LaZn at its PBEsol-relaxed geometry. The functional is meta-GGA SCAN.

Output
crystal system	cubic
VASP energy	-2.0854	Ry per atom
energy of formation from the pure elements	-63	meV per atom
space-group type	No. 225

Unit cell a=4.3696 b=4.3696 c=4.3696 alpha=60.00 beta=60.00 gamma=60.00
Positions (direct):
Zn: 0.5000 0.5000 0.5000
La: 0.0000 0.0000 0.0000



5.
This record from Alexandria describes LaZn3 at its PBEsol-relaxed geometry. The functional is meta-GGA SCAN.

Output
crystal system	hexagonal
VASP energy	-1.5625	Ry per atom
energy of formation from the pure elements	-346	meV per atom
space-group type	No. 194

Unit cell a=4.2957 b=6.6018 c=6.6018 alpha=120.04 beta=90.00 gamma=90.00
Positions (direct):
Zn: 0.7500 0.6373 0.3627
Zn: 0.7500 0.2249 0.3621
Zn: 0.7500 0.6379 0.7751
Zn: 0.2500 0.3627 0.6373
Zn: 0.2500 0.7751 0.6379
Zn: 0.2500 0.3621 0.2249
La: 0.7500 0.1669 0.8331
La: 0.2500 0.8331 0.1669



6.
This record from Alexandria describes La3Zn at its PBEsol-relaxed geometry. The functional is meta-GGA SCAN.

Output
crystal system	tetragonal
VASP energy	-2.6322	Ry per atom
energy of formation from the pure elements	-106	meV per atom
space-group type	No. 139

Unit cell a=4.7936 b=4.7936 c=10.3671 alpha=103.37 beta=103.37 gamma=90.00
Positions (direct):
Zn: 0.6263 0.6263 0.2527
Zn: 0.3737 0.3737 0.7473
La: 0.5000 0.0000 0.0000
La: 0.0000 0.5000 0.0000
La: 0.2500 0.7500 0.5000
La: 0.7500 0.2500 0.5000
La: 0.8721 0.8721 0.7442
La: 0.1279 0.1279 0.2558



7.
This record from Alexandria describes La3Zn at its PBEsol-relaxed geometry. The functional is meta-GGA SCAN.

Output
crystal system	tetragonal
VASP energy	-2.6381	Ry per atom
energy of formation from the pure elements	-185	meV per atom
space-group type	No. 123

Unit cell a=3.7126 b=3.7126 c=8.5427 alpha=90.00 beta=90.00 gamma=90.00
Positions (direct):
Zn: 0.5000 0.5000 0.0000
La: 0.0000 0.0000 0.7913
La: 0.0000 0.0000 0.2087
La: 0.5000 0.5000 0.5000



8.
This record from Alexandria describes La5Zn at its PBEsol-relaxed geometry. The functional is meta-GGA SCAN.

Output
crystal system	orthorhombic
VASP energy	-2.8089	Ry per atom
energy of formation from the pure elements	-43	meV per atom
space-group type	No. 38
distance to the lowest polymorph of the same formula	7.5	kJ per mole of atoms

Unit cell a=3.6186 b=5.7206 c=9.0296 alpha=90.00 beta=101.56 gamma=90.00
Positions (direct):
Zn: 0.1236 0.5000 0.2471
La: 0.9916 0.0000 0.9832
La: 0.3181 0.0000 0.6362
La: 0.6471 0.0000 0.2942
La: 0.4779 0.5000 0.9558
La: 0.7750 0.5000 0.5501